Record 1
DFT (PBE-GGA) results for a relaxed Sr2PbW crystal.

Structure (POSCAR):
```
Sr2PbW
1.0
3.2518 0.0000 0.0000
0.0000 3.2518 0.0000
0.0000 0.0000 10.5857
Sr Pb W
2 1 1
direct
0.0000 0.0000 0.2323 Sr
0.0000 0.0000 0.7677 Sr
0.5000 0.5000 0.5000 Pb
0.5000 0.5000 0.0000 W
```

Results
Its electronic total energy is -17.5 eV for the cell shown. The symmetry is No. 123.

***

Record 2
DFT (PBE-GGA) results for a relaxed K2MnMo crystal.

Structure (POSCAR):
```
K2MnMo
1.0
3.2389 0.0000 0.0000
0.0000 4.7781 0.0000
0.0000 0.0000 12.2803
K Mn Mo
4 2 2
direct
0.0000 0.0000 0.2464 K
0.0000 0.0000 0.7536 K
0.5000 0.5000 0.2464 K
0.5000 0.5000 0.7536 K
0.0000 0.5000 0.5000 Mn
0.5000 0.0000 0.5000 Mn
0.0000 0.5000 0.0000 Mo
0.5000 0.0000 0.0000 Mo
```

Results
As for the energy above the lowest structure with this stoichiometry: 581 meV/atom. The symmetry is No. 65.

***

Record 3
DFT (PBE-GGA) results for a relaxed Sr2H7Pt2 crystal.

Structure (POSCAR):
```
Sr2H7Pt2
1.0
3.7028 -3.7422 0.0000
3.7028 3.7422 0.0000
-0.2212 0.0000 4.7840
Sr H Pt
2 7 2
direct
0.2463 0.7537 0.0000 Sr
0.7537 0.2463 0.0000 Sr
0.0000 0.0000 0.5000 H
0.0985 0.4282 0.3196 H
0.2569 0.2569 0.8982 H
0.4282 0.0985 0.3196 H
0.5718 0.9015 0.6804 H
0.7431 0.7431 0.1018 H
0.9015 0.5718 0.6804 H
0.2473 0.2473 0.5457 Pt
0.7527 0.7527 0.4543 Pt
```

Results
Its electronic total energy is -42.3 eV for the cell shown. The symmetry is No. 12.

***

Record 4
DFT (PBE-GGA) results for a relaxed BaTcIN2 crystal.

Structure (POSCAR):
```
BaTcIN2
1.0
4.2783 0.0000 0.0000
0.0000 4.2783 0.0000
0.0000 0.0000 5.4602
Ba Tc I N
1 1 1 2
direct
0.0000 0.0000 0.0000 Ba
0.5000 0.5000 0.5000 Tc
0.5000 0.5000 0.0000 I
0.0000 0.5000 0.5000 N
0.5000 0.0000 0.5000 N
```

Results
As for the energy above the lowest structure with this stoichiometry: 0 meV/atom. The symmetry is No. 123.

***

Record 5
DFT (PBE-GGA) results for a relaxed SrNd2Ni crystal.

Structure (POSCAR):
```
SrNd2Ni
1.0
4.1292 0.0000 0.0000
-2.0646 3.5760 0.0000
0.0000 0.0000 29.0988
Sr Nd Ni
3 6 3
direct
0.0000 0.0000 0.0000 Sr
0.3333 0.6667 0.6667 Sr
0.6667 0.3333 0.3333 Sr
0.0000 0.0000 0.5488 Nd
0.0000 0.0000 0.7816 Nd
0.3333 0.6667 0.2155 Nd
0.3333 0.6667 0.4483 Nd
0.6667 0.3333 0.1149 Nd
0.6667 0.3333 0.8822 Nd
0.0000 0.0000 0.1649 Ni
0.3333 0.6667 0.8316 Ni
0.6667 0.3333 0.4983 Ni
```

Results
As for the energy above the lowest structure with this stoichiometry: 0 meV/atom. The symmetry is No. 160.

***

Record 6
DFT (PBE-GGA) results for a relaxed SiOsI2N crystal.

Structure (POSCAR):
```
SiOsI2N
1.0
5.4363 0.0000 0.0000
0.0000 5.4363 0.0000
0.0000 0.0000 3.2684
Si Os I N
1 1 2 1
direct
0.0000 0.0000 0.0000 Si
0.5000 0.5000 0.5000 Os
0.0000 0.5000 0.0000 I
0.5000 0.0000 0.0000 I
0.0000 0.0000 0.5000 N
```

Results
As for the energy above the lowest structure with this stoichiometry: 408 meV/atom. The symmetry is No. 123.

***

| no. | density (g/cm³) |
| --- | --- |
| 1 | 8.4 |
| 2 | 4.0 |
| 3 | 7.2 |
| 4 | 6.5 |
| 5 | 5.0 |
| 6 | 8.4 |